A plane-wave DFT calculation with PBE was carried out for crystalline Bi3Se3O at its relaxed geometry.

Values from the calculation:
- Total DFT energy (no corrections): -4.375 eV per atom
- Calculated volume: 29.09 Å³/atom
- ΔE_f (raw): -0.510 eV per atom
- Spin magnetization: 0.0 Bohr magnetons per cell

Lattice parameters (Å, degrees): 8.7215 8.7215 6.1831 90.00 90.00 120.00
Last column: nearest neighbours and their distance in Å.
Atoms (fractional coordinates):
Bi  0.0914  0.3971  0.2500  1 O 2.24
Bi  0.3057  0.9086  0.2500  1 O 2.24
Bi  0.3971  0.3057  0.7500  1 O 2.24
Bi  0.6029  0.6943  0.2500  1 O 2.24
Bi  0.6943  0.0914  0.7500  1 O 2.24
Bi  0.9086  0.6029  0.7500  1 O 2.24
Se  0.0642  0.3672  0.7500  5 Bi 2.90-3.21
Se  0.3030  0.9358  0.7500  5 Bi 2.90-3.21
Se  0.3672  0.3030  0.2500  5 Bi 2.90-3.21
Se  0.6328  0.6970  0.7500  5 Bi 2.90-3.21
Se  0.6970  0.0642  0.2500  5 Bi 2.90-3.21
Se  0.9358  0.6328  0.2500  5 Bi 2.90-3.21
O  0.3333  0.6667  0.2500  3 Bi 2.24
O  0.6667  0.3333  0.7500  3 Bi 2.24



A plane-wave DFT calculation with PBE was carried out for crystalline BiSeO3 at its relaxed geometry.

Values from the calculation:
- Total DFT energy (no corrections): -5.277 eV per atom
- Calculated volume: 18.95 Å³/atom
- ΔE_f (raw): -0.829 eV per atom
- Spin magnetization: 0.0 Bohr magnetons per cell

Lattice parameters (Å, degrees): 6.2266 7.4120 10.0091 90.00 124.85 90.00
Last column: nearest neighbours and their distance in Å.
Atoms (fractional coordinates):
Bi  0.1971  0.0813  0.3992  3 O 2.14-2.26
Bi  0.1971  0.4187  0.8992  3 O 2.14-2.26
Bi  0.8029  0.5813  0.1008  3 O 2.14-2.26
Bi  0.8029  0.9187  0.6008  3 O 2.14-2.26
Se  0.2343  0.6486  0.5504  2 O 1.71-1.80
Se  0.2343  0.8514  0.0504  2 O 1.71-1.80
Se  0.7657  0.1486  0.9496  2 O 1.71-1.80
Se  0.7657  0.3514  0.4496  2 O 1.71-1.80
O  0.0207  0.6810  0.9086  1 Se 1.80
O  0.0207  0.8190  0.4086  1 Se 1.80
O  0.1292  0.0347  0.9241  1 Se 1.71
O  0.1292  0.4653  0.4241  1 Se 1.71
O  0.4715  0.5234  0.8556  2 Bi 2.14-2.16
O  0.4715  0.9766  0.3556  2 Bi 2.14-2.16
O  0.5285  0.0234  0.6444  2 Bi 2.14-2.16
O  0.5285  0.4766  0.1444  2 Bi 2.14-2.16
O  0.8708  0.5347  0.5759  1 Se 1.71
O  0.8708  0.9653  0.0759  1 Se 1.71
O  0.9793  0.1810  0.5914  1 Se 1.80
O  0.9793  0.3190  0.0914  1 Se 1.80